[1]
Crystalline SbP3 at its relaxed geometry. Source: the Alexandria database, functional PBE-GGA.

POSCAR file:
```
SbP3
1.0
5.253 0.000 0.000
0.000 5.253 0.000
0.000 0.000 5.253
Sb P
2 6
direct
0.000 0.000 0.000 Sb
0.500 0.500 0.500 Sb
0.000 0.250 0.500 P
0.000 0.750 0.500 P
0.250 0.500 0.000 P
0.500 0.000 0.250 P
0.500 0.000 0.750 P
0.750 0.500 0.000 P
```

Values from the calculation:
Final energy (eV per atom): -4.26
SG: Pm-3n, No. 223
Formation energy (no corrections) (kJ per mole of atoms): 79.9
Crystal system: cubic
ΔE to the lowest computed polymorph (meV per atom): 629.8

***

[2]
Crystalline TiGaS2N at its relaxed geometry. Source: the Alexandria database, functional PBE-GGA.

POSCAR file:
```
TiGaS2N
1.0
4.789 0.000 0.000
0.000 4.789 0.000
0.000 0.000 3.629
Ti Ga S N
1 1 2 1
direct
0.000 0.000 0.000 Ti
0.500 0.500 0.500 Ga
0.000 0.500 0.500 S
0.500 0.000 0.500 S
0.500 0.500 0.000 N
```

Values from the calculation:
Final energy (eV per atom): -5.09
SG: P4/mmm, No. 123
Formation energy (no corrections) (kJ per mole of atoms): 39.4
Crystal system: tetragonal
ΔE to the lowest computed polymorph (meV per atom): 560.7

***

[3]
Crystalline Tm5BiAs4 at its relaxed geometry. Source: the Alexandria database, functional PBE-GGA.

POSCAR file:
```
Tm5BiAs4
1.0
6.880 -2.053 0.000
6.880 2.053 0.000
-5.054 0.000 8.852
Tm Bi As
5 1 4
direct
0.000 0.000 0.000 Tm
0.206 0.206 0.815 Tm
0.391 0.391 0.611 Tm
0.609 0.609 0.389 Tm
0.794 0.794 0.185 Tm
0.000 0.000 0.500 Bi
0.203 0.203 0.295 As
0.403 0.403 0.101 As
0.597 0.597 0.899 As
0.797 0.797 0.705 As
```

Values from the calculation:
Final energy (eV per atom): -5.82
SG: C2/m, No. 12
ΔE_f (eV per atom): -1.3359
Crystal system: monoclinic

***

[4]
Crystalline Na2ZrSb2 at its relaxed geometry. Source: the Alexandria database, functional PBE-GGA.

POSCAR file:
```
Na2ZrSb2
1.0
8.541 0.000 0.000
0.000 8.541 0.000
0.000 0.000 3.448
Na Zr Sb
4 2 4
direct
0.118 0.382 0.000 Na
0.382 0.882 0.000 Na
0.618 0.118 0.000 Na
0.882 0.618 0.000 Na
0.000 0.000 0.500 Zr
0.500 0.500 0.500 Zr
0.184 0.684 0.500 Sb
0.316 0.184 0.500 Sb
0.684 0.816 0.500 Sb
0.816 0.316 0.500 Sb
```

Values from the calculation:
Final energy (eV per atom): -4.02
SG: P4/mbm, No. 127
Formation energy (no corrections) (kJ per mole of atoms): -13.4
Crystal system: tetragonal

***

[5]
Crystalline NaBPdPt at its relaxed geometry. Source: the Alexandria database, functional PBE-GGA.

POSCAR file:
```
NaBPdPt
1.0
-1.430 1.433 7.566
1.430 -1.433 7.566
1.430 1.433 -7.566
Na B Pd Pt
1 1 1 1
direct
0.000 0.000 0.000 Na
0.763 0.263 0.500 B
0.656 0.656 0.000 Pd
0.323 0.823 0.500 Pt
```

Values from the calculation:
Final energy (eV per atom): -4.93
SG: Imm2, No. 44
ΔE_f (eV per atom): -0.1247
Crystal system: orthorhombic

***

[6]
Crystalline Pm3ZrSb4 at its relaxed geometry. Source: the Alexandria database, functional PBE-GGA.

POSCAR file:
```
Pm3ZrSb4
1.0
7.619 0.000 0.000
0.000 8.810 0.000
-2.542 0.000 7.160
Pm Zr Sb
6 2 8
direct
0.000 0.125 0.250 Pm
0.000 0.374 0.750 Pm
0.000 0.626 0.250 Pm
0.000 0.875 0.750 Pm
0.500 0.374 0.250 Pm
0.500 0.626 0.750 Pm
0.500 0.126 0.750 Zr
0.500 0.874 0.250 Zr
0.258 0.367 0.508 Sb
0.258 0.633 0.008 Sb
0.266 0.117 0.000 Sb
0.266 0.883 0.500 Sb
0.734 0.117 0.500 Sb
0.734 0.883 0.000 Sb
0.742 0.367 0.992 Sb
0.742 0.633 0.492 Sb
```

Values from the calculation:
Final energy (eV per atom): -5.94
SG: P2/c, No. 13
Formation energy (no corrections) (kJ per mole of atoms): -98.8
Crystal system: monoclinic

***

[7]
Crystalline Nd6GeTe3 at its relaxed geometry. Source: the Alexandria database, functional PBE-GGA.

POSCAR file:
```
Nd6GeTe3
1.0
12.471 0.000 0.000
0.000 4.224 0.000
-3.286 0.000 12.392
Nd Ge Te
12 2 6
direct
0.011 0.250 0.360 Nd
0.087 0.250 0.896 Nd
0.266 0.750 0.297 Nd
0.295 0.750 0.761 Nd
0.394 0.250 0.548 Nd
0.447 0.750 0.133 Nd
0.553 0.250 0.867 Nd
0.606 0.750 0.452 Nd
0.705 0.250 0.239 Nd
0.734 0.250 0.703 Nd
0.913 0.750 0.104 Nd
0.989 0.750 0.640 Nd
0.456 0.250 0.316 Ge
0.544 0.750 0.684 Ge
0.107 0.250 0.150 Te
0.180 0.750 0.508 Te
0.343 0.250 0.952 Te
0.657 0.750 0.048 Te
0.820 0.250 0.492 Te
0.893 0.750 0.850 Te
```

Values from the calculation:
Final energy (eV per atom): -5.23
SG: P2_1/m, No. 11
Formation energy (no corrections) (kJ per mole of atoms): -93.1
Crystal system: monoclinic

***

[8]
Crystalline ErCrGa2 at its relaxed geometry. Source: the Alexandria database, functional PBE-GGA.

POSCAR file:
```
ErCrGa2
1.0
1.689 0.975 8.112
-1.689 0.975 8.112
0.000 -1.950 8.112
Er Cr Ga
1 1 2
direct
0.000 0.000 0.000 Er
0.500 0.500 0.500 Cr
0.239 0.239 0.239 Ga
0.761 0.761 0.761 Ga
```

Values from the calculation:
Final energy (eV per atom): -5.03
SG: R-3m, No. 166
ΔE_f (eV per atom): 0.0285
Crystal system: trigonal

***

[9]
Crystalline Nd4HoN4 at its relaxed geometry. Source: the Alexandria database, functional PBE-GGA.

POSCAR file:
```
Nd4HoN4
1.0
6.031 -1.801 0.000
6.031 1.801 0.000
-4.517 0.000 7.762
Nd Ho N
4 1 4
direct
0.105 0.105 0.382 Nd
0.294 0.294 0.188 Nd
0.706 0.706 0.812 Nd
0.895 0.895 0.618 Nd
0.500 0.500 0.000 Ho
0.098 0.098 0.909 N
0.307 0.307 0.705 N
0.693 0.693 0.295 N
0.902 0.902 0.091 N
```

Values from the calculation:
Final energy (eV per atom): -7.60
SG: C2/m, No. 12
Formation energy (no corrections) (kJ per mole of atoms): -123.1
Crystal system: monoclinic

***

[10]
Crystalline SrLaHg3 at its relaxed geometry. Source: the Alexandria database, functional PBE-GGA.

POSCAR file:
```
SrLaHg3
1.0
1.993 -15.062 0.000
1.993 15.062 0.000
0.000 0.000 5.030
Sr La Hg
2 2 6
direct
0.075 0.925 0.750 Sr
0.925 0.075 0.250 Sr
0.209 0.791 0.250 La
0.791 0.209 0.750 La
0.320 0.680 0.250 Hg
0.378 0.622 0.750 Hg
0.475 0.525 0.750 Hg
0.525 0.475 0.250 Hg
0.622 0.378 0.250 Hg
0.680 0.320 0.750 Hg
```

Values from the calculation:
Final energy (eV per atom): -1.98
SG: Cmcm, No. 63
ΔE_f (eV per atom): -0.4733
Crystal system: orthorhombic
ΔE to the lowest computed polymorph (meV per atom): 0.0

***

[11]
Crystalline CaHg2Os at its relaxed geometry. Source: the Alexandria database, functional PBE-GGA.

POSCAR file:
```
CaHg2Os
1.0
5.405 -1.820 0.000
5.405 1.820 0.000
-2.029 0.000 4.245
Ca Hg Os
1 2 1
direct
0.000 0.000 0.000 Ca
0.529 0.529 0.533 Hg
0.770 0.770 0.256 Hg
0.253 0.253 0.734 Os
```

Values from the calculation:
Final energy (eV per atom): -3.04
SG: Cm, No. 8
ΔE_f (eV per atom): 0.4149
Crystal system: monoclinic

***

[12]
Crystalline IrSe2Br at its relaxed geometry. Source: the Alexandria database, functional PBE-GGA.

POSCAR file:
```
IrSe2Br
1.0
-1.753 2.285 6.355
1.753 -2.285 6.355
1.753 2.285 -6.355
Ir Se Br
1 2 1
direct
0.000 0.000 0.000 Ir
0.131 0.631 0.500 Se
0.527 0.527 0.000 Se
0.843 0.343 0.500 Br
```

Values from the calculation:
Final energy (eV per atom): -4.24
SG: Imm2, No. 44
Formation energy (no corrections) (kJ per mole of atoms): 12.7
Crystal system: orthorhombic
ΔE to the lowest computed polymorph (meV per atom): 360.6